Entry 1:
The following is a DFT calculation (GGA-PBE) of an optimized crystal structure of HoSc2Rh.

Computed properties:
space-group type	No. 160
total magnetic moment	0.00	Bohr magnetons per cell
energy	-6.501	eV per atom
ΔH_f (0 K)	-0.35	eV/atom
D(E_F)	2.401	states/eV/f.u.
energy relative to the lowest polymorph listed for this composition	180	meV/atom

Lattice parameters (Å, degrees): 6.2712 6.2712 6.2712 41.37 41.37 41.37
Last column: nearest neighbours and their distance in Å.
Atoms (fractional coordinates):
Ho 0.0000 0.0000 0.0000  1 Rh 3.00, 6 Sc 3.23-3.28
Sc 0.2140 0.2140 0.2140  3 Rh 2.73
Sc 0.4480 0.4480 0.4480  3 Rh 2.67
Rh 0.8252 0.8252 0.8252  6 Sc 2.67-2.73

---

Entry 2:
The following is a DFT calculation (GGA-PBE) of an optimized crystal structure of Ho3ScRh3.

Computed properties:
space-group type	No. 65
total magnetic moment	0.00	Bohr magnetons per cell
energy	-6.776	eV per atom
ΔH_f (0 K)	-0.76	eV/atom
D(E_F)	3.339	states/eV/f.u.

Lattice parameters (Å, degrees): 6.8025 6.8025 6.5498 90.00 90.00 92.75
Last column: nearest neighbours and their distance in Å.
Atoms (fractional coordinates):
Ho 0.2458 0.2458 0.0000  6 Rh 2.85-2.99
Ho 0.2491 0.7509 0.0000  6 Rh 2.90-2.96
Ho 0.2732 0.2732 0.5000  6 Rh 2.93-3.03
Ho 0.7268 0.7268 0.5000  6 Rh 2.93-3.03
Ho 0.7509 0.2491 0.0000  6 Rh 2.90-2.96
Ho 0.7542 0.7542 0.0000  6 Rh 2.85-2.99
Sc 0.2209 0.7791 0.5000  6 Rh 2.71-2.84
Sc 0.7791 0.2209 0.5000  6 Rh 2.71-2.84
Rh 0.0000 0.0000 0.2543  2 Sc 2.71, 6 Ho 2.85-3.03
Rh 0.0000 0.0000 0.7457  2 Sc 2.71, 6 Ho 2.85-3.03
Rh 0.0000 0.5000 0.2591  2 Sc 2.84, 6 Ho 2.90-2.99, 1 Rh 3.16
Rh 0.0000 0.5000 0.7409  2 Sc 2.84, 6 Ho 2.90-2.99, 1 Rh 3.16
Rh 0.5000 0.0000 0.2591  2 Sc 2.84, 6 Ho 2.90-2.99, 1 Rh 3.16
Rh 0.5000 0.0000 0.7409  2 Sc 2.84, 6 Ho 2.90-2.99, 1 Rh 3.16

---

Entry 3:
The following is a DFT calculation (GGA-PBE) of an optimized crystal structure of HoScRh2.

Computed properties:
space-group type	No. 225
total magnetic moment	0.00	Bohr magnetons per cell
energy	-7.339	eV per atom
ΔH_f (0 K)	-0.94	eV/atom
D(E_F)	2.375	states/eV/f.u.
energy relative to the lowest polymorph listed for this composition	7	meV/atom

Lattice parameters (Å, degrees): 4.6989 4.6989 4.6989 60.00 60.00 60.00
Last column: nearest neighbours and their distance in Å.
Atoms (fractional coordinates):
Ho 0.0000 0.0000 0.0000  8 Rh 2.88
Sc 0.5000 0.5000 0.5000  8 Rh 2.88
Rh 0.2500 0.2500 0.2500  4 Ho 2.88, 4 Sc 2.88
Rh 0.7500 0.7500 0.7500  4 Ho 2.88, 4 Sc 2.88

---

Repeat the first record exactly.
The following is a DFT calculation (GGA-PBE) of an optimized crystal structure of HoSc2Rh.

Computed properties:
space-group type	No. 160
total magnetic moment	0.00	Bohr magnetons per cell
energy	-6.501	eV per atom
ΔH_f (0 K)	-0.35	eV/atom
D(E_F)	2.401	states/eV/f.u.
energy relative to the lowest polymorph listed for this composition	180	meV/atom

Lattice parameters (Å, degrees): 6.2712 6.2712 6.2712 41.37 41.37 41.37
Last column: nearest neighbours and their distance in Å.
Atoms (fractional coordinates):
Ho 0.0000 0.0000 0.0000  1 Rh 3.00, 6 Sc 3.23-3.28
Sc 0.2140 0.2140 0.2140  3 Rh 2.73
Sc 0.4480 0.4480 0.4480  3 Rh 2.67
Rh 0.8252 0.8252 0.8252  6 Sc 2.67-2.73